## Co2BiOsRh (PBE-GGA)

Data for Co2BiOsRh after structural relaxation.

Lattice parameters (Å, degrees): 4.521 4.996 4.521 90.00 90.00 90.00
Each line ends with the local moment (μB).
Fractional positions:
Os (0.500, 0.500, 0.500)  1.86
Co (0.500, 0.000, 0.000)  1.69
Co (0.000, 0.000, 0.500)  2.47
Rh (0.000, 0.000, 0.000)  0.62
Bi (0.000, 0.500, 0.000)  -0.02

## Properties
The formation energy is 1727 meV/atom. The density of states at the Fermi level comes out at 9.4 states/eV/cell. The crystal system is tetragonal. As for the symmetry: P4/mmm (123).